DyIn, relaxed, DFT GGA-PBE; theoretical density = 7.6 g/cm3; total energy = -7.644 eV/f.u.
1.0
4.772 0.000 0.000
-2.386 4.132 0.000
0.000 0.000 6.157
Dy In
2 2
Cartesian
0.000 2.755 1.539
2.386 1.377 4.618
0.000 0.000 0.000
0.000 0.000 3.079